MgB6C after structural relaxation. Source: the Alexandria database, functional PBE.

```
8
Lattice="3.344 -2.638 0.000 3.344 2.638 0.000 -1.089 0.000 3.910" Properties=species:S:1:pos:R:3 pbc="T T T"
Mg 0.000 0.000 0.000
B 1.954 1.245 1.784
B 3.646 1.245 2.126
B 2.868 0.000 0.851
B 2.732 0.000 3.059
B 1.954 -1.245 1.784
B 3.646 -1.245 2.126
C -0.544 0.000 1.955
```

As for the calculated total energy: -0.431 Ry per atom. As for the calculated volume: 8.6 Å³ per atom. For the magnetic moment, the calculation gives 0.0000 μB/atom. Its density of states at the Fermi level is 0.986 states/eV/cell. As for the formation energy: 3.9 eV per formula unit.